A plane-wave DFT calculation with PBE-GGA was carried out for TbGa3CoTc after structural relaxation.

Results
E_form   -176.6 meV/atom
M_tot   0.00 Bohr magnetons per cell

a b c (Å): 7.621 10.383 5.771
angles (deg): 90.00 90.00 90.00
Space group Cmcm (No. 63)
Unique sites:
Tb 0.000 0.220 0.250 (multiplicity 4)
Ga 0.000 0.302 0.750 (multiplicity 4)
Ga 0.247 0.500 0.000 (multiplicity 8)
Co 0.000 0.477 0.250 (multiplicity 4)
Tc 0.000 0.072 0.750 (multiplicity 4)